No. 1
Material: KSnAsSe2
Method: DFT, GGA-PBE
State: relaxed

The structure in CIF format:
```
data_KSnAsSe2
_chemical_formula_sum 'K1 Sn1 As1 Se2'
_cell_length_a 5.4902
_cell_length_b 5.4902
_cell_length_c 5.2965
_cell_angle_alpha 90.00
_cell_angle_beta 90.00
_cell_angle_gamma 90.00
_symmetry_space_group_name_H-M 'P 4/m m m'
_symmetry_Int_Tables_number 123
_symmetry_space_group_name_Hall '-P 4 2'
loop_
_atom_site_label
_atom_site_type_symbol
_atom_site_fract_x
_atom_site_fract_y
_atom_site_fract_z
_atom_site_occupancy
K1 K 0.0000 0.0000 0.0000 1
Sn1 Sn 0.5000 0.5000 0.5000 1
As1 As 0.5000 0.5000 0.0000 1
Se1 Se 0.0000 0.5000 0.5000 1
```

Values from the calculation:
density of states at the Fermi level: 2.93 states/eV per cell
crystal system: tetragonal
energy above the lowest structure with this stoichiometry: 0 meV/atom
uncorrected formation energy: -70 meV per atom
E: -3.41 eV per atom

---

No. 2
Material: NaIn5Pb4
Method: DFT, GGA-PBE
State: relaxed

The structure in CIF format:
```
data_NaIn5Pb4
_chemical_formula_sum 'Na1 In5 Pb4'
_cell_length_a 3.9733
_cell_length_b 3.9733
_cell_length_c 18.4547
_cell_angle_alpha 90.00
_cell_angle_beta 90.00
_cell_angle_gamma 90.00
_symmetry_space_group_name_H-M 'P 4/m m m'
_symmetry_Int_Tables_number 123
_symmetry_space_group_name_Hall '-P 4 2'
loop_
_atom_site_label
_atom_site_type_symbol
_atom_site_fract_x
_atom_site_fract_y
_atom_site_fract_z
_atom_site_occupancy
Na1 Na 0.0000 0.0000 0.0000 1
In1 In 0.5000 0.5000 0.0989 1
In2 In 0.5000 0.5000 0.2974 1
In3 In 0.5000 0.5000 0.5000 1
Pb1 Pb 0.0000 0.0000 0.1939 1
Pb2 Pb 0.0000 0.0000 0.3946 1
```

Values from the calculation:
density of states at the Fermi level: 3.49 states/eV per cell
crystal system: tetragonal
DFT formation energy: 0.00 eV per atom
E: -2.98 eV per atom

---

No. 3
Material: NbHOs
Method: DFT, GGA-PBE
State: relaxed

The structure in CIF format:
```
data_NbHOs
_chemical_formula_sum 'Nb2 H2 Os2'
_cell_length_a 2.9136
_cell_length_b 4.7019
_cell_length_c 5.0537
_cell_angle_alpha 93.33
_cell_angle_beta 93.03
_cell_angle_gamma 92.92
_symmetry_space_group_name_H-M 'P 1'
_symmetry_Int_Tables_number 1
loop_
_symmetry_equiv_pos_as_xyz
'x,y,z'
loop_
_atom_site_label
_atom_site_type_symbol
_atom_site_fract_x
_atom_site_fract_y
_atom_site_fract_z
_atom_site_occupancy
Nb1 Nb 0.0000 0.0000 0.0000 1
Nb2 Nb 0.1143 0.5168 0.6486 1
H1 H 0.0220 0.7982 0.3492 1
H2 H 0.5543 0.2615 0.8301 1
Os1 Os 0.5494 0.4993 0.1518 1
Os2 Os 0.5608 0.0170 0.4980 1
```

Values from the calculation:
density of states at the Fermi level: 3.62 states/eV per cell
crystal system: triclinic
energy above the lowest structure with this stoichiometry: 64 meV/atom
E: -8.27 eV per atom

---

No. 4
Material: SrFeCuAs2
Method: DFT, GGA-PBE
State: relaxed

The structure in CIF format:
```
data_SrFeCuAs2
_chemical_formula_sum 'Sr2 Fe2 Cu2 As4'
_cell_length_a 4.0710
_cell_length_b 4.0710
_cell_length_c 11.7496
_cell_angle_alpha 90.00
_cell_angle_beta 90.00
_cell_angle_gamma 90.00
_symmetry_space_group_name_H-M 'I -4 m 2'
_symmetry_Int_Tables_number 119
_symmetry_space_group_name_Hall 'I -4 -2'
loop_
_atom_site_label
_atom_site_type_symbol
_atom_site_fract_x
_atom_site_fract_y
_atom_site_fract_z
_atom_site_occupancy
Sr1 Sr 0.0000 0.0000 0.0000 1
Fe1 Fe 0.0000 0.5000 0.2500 1
Cu1 Cu 0.0000 0.5000 0.7500 1
As1 As 0.0000 0.0000 0.3636 1
```

Values from the calculation:
density of states at the Fermi level: 7.79 states/eV per cell
crystal system: tetragonal
DFT formation energy: -0.49 eV per atom
E: -5.19 eV per atom

---

No. 5
Material: Cu5Pd4Rh
Method: DFT, GGA-PBE
State: relaxed

The structure in CIF format:
```
data_Cu5Pd4Rh
_chemical_formula_sum 'Cu5 Pd4 Rh1'
_cell_length_a 3.0001
_cell_length_b 3.0001
_cell_length_c 15.1742
_cell_angle_alpha 90.00
_cell_angle_beta 90.00
_cell_angle_gamma 90.00
_symmetry_space_group_name_H-M 'P 4/m m m'
_symmetry_Int_Tables_number 123
_symmetry_space_group_name_Hall '-P 4 2'
loop_
_atom_site_label
_atom_site_type_symbol
_atom_site_fract_x
_atom_site_fract_y
_atom_site_fract_z
_atom_site_occupancy
Cu1 Cu 0.0000 0.0000 0.0000 1
Cu2 Cu 0.0000 0.0000 0.2007 1
Cu3 Cu 0.0000 0.0000 0.4020 1
Pd1 Pd 0.5000 0.5000 0.1007 1
Pd2 Pd 0.5000 0.5000 0.3017 1
Rh1 Rh 0.5000 0.5000 0.5000 1
```

Values from the calculation:
density of states at the Fermi level: 10.72 states/eV per cell
crystal system: tetragonal
energy above the lowest structure with this stoichiometry: 0 meV/atom
DFT formation energy: -0.06 eV per atom
E: -4.92 eV per atom

---

No. 6
Material: CuBr2Cl
Method: DFT, GGA-PBE
State: relaxed

The structure in CIF format:
```
data_CuBr2Cl
_chemical_formula_sum 'Cu3 Br6 Cl3'
_cell_length_a 3.7935
_cell_length_b 3.7935
_cell_length_c 21.7541
_cell_angle_alpha 90.00
_cell_angle_beta 90.00
_cell_angle_gamma 120.00
_symmetry_space_group_name_H-M 'R -3 m'
_symmetry_Int_Tables_number 166
_symmetry_space_group_name_Hall '-R 3 2"'
loop_
_atom_site_label
_atom_site_type_symbol
_atom_site_fract_x
_atom_site_fract_y
_atom_site_fract_z
_atom_site_occupancy
Cu1 Cu 0.0000 0.0000 0.0000 1
Br1 Br 0.0000 0.0000 0.2697 1
Cl1 Cl 0.0000 0.0000 0.5000 1
```

Values from the calculation:
density of states at the Fermi level: 17.72 states/eV per cell
crystal system: trigonal
energy above the lowest structure with this stoichiometry: 281 meV/atom
uncorrected formation energy: 43 meV per atom
E: -2.28 eV per atom

---

No. 7
Material: CaGaSN2
Method: DFT, GGA-PBE
State: relaxed

The structure in CIF format:
```
data_CaGaSN2
_chemical_formula_sum 'Ca1 Ga1 S1 N2'
_cell_length_a 4.6287
_cell_length_b 4.6287
_cell_length_c 5.5199
_cell_angle_alpha 90.00
_cell_angle_beta 90.00
_cell_angle_gamma 90.00
_symmetry_space_group_name_H-M 'P 4/m m m'
_symmetry_Int_Tables_number 123
_symmetry_space_group_name_Hall '-P 4 2'
loop_
_atom_site_label
_atom_site_type_symbol
_atom_site_fract_x
_atom_site_fract_y
_atom_site_fract_z
_atom_site_occupancy
Ca1 Ca 0.0000 0.0000 0.0000 1
Ga1 Ga 0.5000 0.5000 0.5000 1
S1 S 0.0000 0.0000 0.5000 1
N1 N 0.0000 0.5000 0.0000 1
```

Values from the calculation:
density of states at the Fermi level: 3.31 states/eV per cell
crystal system: tetragonal
energy above the lowest structure with this stoichiometry: 926 meV/atom
uncorrected formation energy: 1167 meV per atom
E: -3.99 eV per atom

---

No. 8
Material: Ac6Tl3Cd
Method: DFT, GGA-PBE
State: relaxed

The structure in CIF format:
```
data_Ac6Tl3Cd
_chemical_formula_sum 'Ac12 Tl6 Cd2'
_cell_length_a 10.2833
_cell_length_b 5.8042
_cell_length_c 12.9214
_cell_angle_alpha 90.00
_cell_angle_beta 107.13
_cell_angle_gamma 90.00
_symmetry_space_group_name_H-M 'P 1 21/m 1'
_symmetry_Int_Tables_number 11
loop_
_symmetry_equiv_pos_as_xyz
'x,y,z'
'-x,-y,-z'
'-x,y+1/2,-z'
'x,-y+1/2,z'
loop_
_atom_site_label
_atom_site_type_symbol
_atom_site_fract_x
_atom_site_fract_y
_atom_site_fract_z
_atom_site_occupancy
Ac1 Ac 0.0213 0.2500 0.4022 1
Ac2 Ac 0.1540 0.7500 0.1784 1
Ac3 Ac 0.2517 0.2500 0.9995 1
Ac4 Ac 0.3504 0.7500 0.8249 1
Ac5 Ac 0.3724 0.2500 0.3447 1
Ac6 Ac 0.3917 0.2500 0.6203 1
Tl1 Tl 0.0344 0.7500 0.8872 1
Tl2 Tl 0.1277 0.2500 0.7203 1
Tl3 Tl 0.2736 0.7500 0.4692 1
Cd1 Cd 0.4527 0.7500 0.1079 1
```

Values from the calculation:
density of states at the Fermi level: 20.72 states/eV per cell
crystal system: monoclinic
DFT formation energy: -0.23 eV per atom
E: -3.50 eV per atom

---

No. 9
Material: BaAlHg2
Method: DFT, GGA-PBE
State: relaxed

The structure in CIF format:
```
data_BaAlHg2
_chemical_formula_sum 'Ba1 Al1 Hg2'
_cell_length_a 5.1420
_cell_length_b 5.1420
_cell_length_c 4.4920
_cell_angle_alpha 90.00
_cell_angle_beta 90.00
_cell_angle_gamma 90.00
_symmetry_space_group_name_H-M 'P 4/m m m'
_symmetry_Int_Tables_number 123
_symmetry_space_group_name_Hall '-P 4 2'
loop_
_atom_site_label
_atom_site_type_symbol
_atom_site_fract_x
_atom_site_fract_y
_atom_site_fract_z
_atom_site_occupancy
Ba1 Ba 0.0000 0.0000 0.0000 1
Al1 Al 0.5000 0.5000 0.0000 1
Hg1 Hg 0.0000 0.5000 0.5000 1
```

Values from the calculation:
density of states at the Fermi level: 3.08 states/eV per cell
crystal system: tetragonal
DFT formation energy: -0.12 eV per atom
E: -1.69 eV per atom

---

No. 10
Material: BaRe2Os
Method: DFT, GGA-PBE
State: relaxed

The structure in CIF format:
```
data_BaRe2Os
_chemical_formula_sum 'Ba2 Re4 Os2'
_cell_length_a 9.4496
_cell_length_b 3.1505
_cell_length_c 6.3885
_cell_angle_alpha 90.00
_cell_angle_beta 103.27
_cell_angle_gamma 90.00
_symmetry_space_group_name_H-M 'C 1 2/m 1'
_symmetry_Int_Tables_number 12
loop_
_symmetry_equiv_pos_as_xyz
'x,y,z'
'-x,-y,-z'
'-x,y,-z'
'x,-y,z'
'x+1/2,y+1/2,z'
'-x+1/2,-y+1/2,-z'
'-x+1/2,y+1/2,-z'
'x+1/2,-y+1/2,z'
loop_
_atom_site_label
_atom_site_type_symbol
_atom_site_fract_x
_atom_site_fract_y
_atom_site_fract_z
_atom_site_occupancy
Ba1 Ba 0.0000 0.0000 0.0000 1
Re1 Re 0.2167 0.0000 0.6286 1
Os1 Os 0.0000 0.5000 0.5000 1
```

Values from the calculation:
density of states at the Fermi level: 10.26 states/eV per cell
crystal system: monoclinic
energy above the lowest structure with this stoichiometry: 78 meV/atom
DFT formation energy: 0.88 eV per atom
E: -8.63 eV per atom